Record 1
Below is a geometry-optimized Sr2HgBiS5 structure, with properties calculated at the GGA-PBE level.

## Properties
The energy relative to the elements, uncorrected is -8.98 eV per formula unit.

abc: 4.0909 9.2810 12.3527
angles: 90.00 90.00 102.73
Fractional positions:
S 0.2740 0.5479 0.6712
S 0.7082 0.4165 0.8566
S 0.2918 0.5835 0.3566
S 0.7260 0.4521 0.1712
S 0.4989 0.9979 0.7684
S 0.6334 0.2667 0.4993
S 0.5011 0.0021 0.2684
S 0.9372 0.8744 0.5704
S 0.0628 0.1256 0.0704
S 0.3666 0.7333 0.9993
Hg 0.5380 0.0760 0.9570
Hg 0.4620 0.9240 0.4570
Bi 0.7808 0.5615 0.5131
Bi 0.2192 0.4385 0.0131
Sr 0.1059 0.2119 0.6802
Sr 0.8941 0.7881 0.1802
Sr 0.8760 0.7520 0.8079
Sr 0.1240 0.2480 0.3079

Record 2
Below is a geometry-optimized TlHgBiS3 structure, with properties calculated at the GGA-PBE level.

## Properties
The energy relative to the elements, uncorrected is -1.57 eV per formula unit.

abc: 4.1657 9.0732 9.7063
angles: 97.86 90.00 90.00
Fractional positions:
S 0.7500 0.8503 0.1288
S 0.2500 0.5848 0.8666
S 0.7500 0.4152 0.1334
S 0.2500 0.1497 0.8712
S 0.2500 0.8062 0.5252
S 0.7500 0.1938 0.4748
Tl 0.7500 0.8369 0.7876
Tl 0.2500 0.1631 0.2124
Bi 0.7500 0.3561 0.8656
Bi 0.2500 0.6439 0.1344
Hg 0.7500 0.8792 0.3970
Hg 0.2500 0.1208 0.6030

| no. | raw total energy (eV for the cell shown) |
| --- | --- |
| 1 | -74.3 |
| 2 | -41.0 |